A geometry-optimized CaCdP2Cl structure, computed with GGA-PBE.

POSCAR file:
```
CaCdP2Cl
1.0
-0.882 3.493 -4.137
-5.152 0.747 1.730
1.554 3.885 2.949
P Ca Cl Cd
2 1 1 1
Cartesian
-0.441 1.746 -2.068
-2.576 0.374 0.865
0.000 0.000 0.000
0.777 1.943 1.475
-2.240 4.063 0.271
```

Computed properties:
E_form (uncorrected), eV per formula unit: 1.4
Energy above the lowest structure with this stoichiometry, meV per atom: 310.6
SG: No. 123
Magnetic moment, Bohr magnetons per cell: 1.64

***

A geometry-optimized CaCd2PCl structure, computed with GGA-PBE.

POSCAR file:
```
CaCd2PCl
1.0
-2.258 2.245 4.250
-3.712 -3.591 -0.075
2.922 -3.088 3.183
Cd Ca P Cl
2 1 1 1
Cartesian
1.461 -1.544 1.591
-1.129 1.122 2.125
-1.856 -1.795 -0.038
-1.524 -2.217 3.679
0.000 0.000 0.000
```

Computed properties:
E_form (uncorrected), eV per formula unit: 0.4
SG: No. 123
Magnetic moment, Bohr magnetons per cell: 0.00